1.
VASP calculation (PBE-GGA) on a relaxed structure of K2SrMn.

Cell: 6.7365 6.7365 7.9021 Å, 67.00 67.00 37.02°
Last column: magnetic moment on the atom in μB.
Positions (direct):
K  0.9893  0.9893  0.9973  -0.01
K  0.1889  0.1889  0.2464  -0.01
Mn  0.5173  0.5173  0.6199  4.14
Sr  0.8045  0.8045  0.6363  -0.05

Calculated formation energy (eV per atom): 0.61
Symmetry: Cm (8)
Offset from the most stable computed form (meV/atom): 126



2.
VASP calculation (PBE-GGA) on a relaxed structure of KSrMn3.

Cell: 5.7824 5.7824 5.7824 Å, 90.00 90.00 90.00°
Last column: magnetic moment on the atom in μB.
Positions (direct):
Sr  0.0000  0.0000  0.0000  -0.16
K  0.5000  0.5000  0.5000  -0.01
Mn  0.0000  0.5000  0.0000  4.06
Mn  0.0000  0.0000  0.5000  3.77
Mn  0.5000  0.0000  0.0000  4.30

Calculated formation energy (eV per atom): 1.59
Symmetry: Pm-3m (221)
Offset from the most stable computed form (meV/atom): 0



3.
VASP calculation (PBE-GGA) on a relaxed structure of KSrMn2.

Cell: 3.9826 4.5109 8.0328 Å, 90.00 90.00 90.00°
Last column: magnetic moment on the atom in μB.
Positions (direct):
K  0.5000  0.5000  0.7500  0.00
Mn  0.0000  0.0000  0.0814  3.94
Mn  0.0000  0.0000  0.4186  3.94
Sr  0.5000  0.5000  0.2500  -0.11

Calculated formation energy (eV per atom): 0.84
Symmetry: Pmmm (47)
Offset from the most stable computed form (meV/atom): 150



4.
VASP calculation (PBE-GGA) on a relaxed structure of K2SrMn.

Cell: 7.9541 7.9541 4.1254 Å, 76.55 76.55 125.08°
Last column: magnetic moment on the atom in μB.
Positions (direct):
K  0.0000  0.0000  0.0000  -0.01
K  0.5000  0.5000  0.0000  -0.01
Mn  0.5000  0.0000  0.5000  4.25
Sr  0.0000  0.5000  0.5000  -0.05

Calculated formation energy (eV per atom): 0.66
Symmetry: C2/m (12)
Offset from the most stable computed form (meV/atom): 178



5.
VASP calculation (PBE-GGA) on a relaxed structure of K2SrMn.

Cell: 13.6446 13.6446 13.6446 Å, 17.41 17.41 17.41°
Last column: magnetic moment on the atom in μB.
Positions (direct):
K  0.9872  0.9872  0.9872  -0.01
K  0.5128  0.5128  0.5128  -0.01
Mn  0.2500  0.2500  0.2500  4.28
Sr  0.7500  0.7500  0.7500  -0.01

Calculated formation energy (eV per atom): 0.68
Symmetry: R-3m (166)
Offset from the most stable computed form (meV/atom): 199



6.
VASP calculation (PBE-GGA) on a relaxed structure of KSrMn2.

Cell: 4.7084 4.2871 7.1747 Å, 72.59 90.00 90.00°
Last column: magnetic moment on the atom in μB.
Positions (direct):
K  0.5000  0.7787  0.8184  -0.01
Mn  0.0000  0.1684  0.0379  3.88
Mn  0.5000  0.0705  0.2337  3.84
Sr  0.0000  0.4824  0.4101  -0.07

Calculated formation energy (eV per atom): 0.82
Symmetry: Amm2 (38)
Offset from the most stable computed form (meV/atom): 127



What is the formula in the first record?
K2SrMn